# 1
6
Lattice="0.000 4.289 4.289 4.289 0.000 4.289 4.289 4.289 0.000" Properties=species:S:1:pos:R:3 comment="AlAs4Cl (PBE, optimized geometry)" sg=F-43m total_energy_ev_per_atom=-3.873 pbc="T T T"
Al 0.000 0.000 0.000
As 5.163 3.415 3.415
As 3.415 5.163 3.415
As 3.415 3.415 5.163
As 5.163 5.163 5.163
Cl 2.145 2.145 2.145

# 2
14
Lattice="7.508 0.000 0.000 0.000 7.508 0.000 0.000 0.000 7.508" Properties=species:S:1:pos:R:3 comment="TbSn3Au3 (PBE, optimized geometry)" e_form_ev_per_atom=0.11 sg=Pm-3n pbc="T T T"
Tb 0.000 0.000 0.000
Tb 3.754 3.754 3.754
Sn 0.000 1.877 3.754
Sn 0.000 5.631 3.754
Sn 1.877 3.754 0.000
Sn 3.754 0.000 1.877
Sn 3.754 0.000 5.631
Sn 5.631 3.754 0.000
Au 0.000 3.754 1.877
Au 0.000 3.754 5.631
Au 1.877 0.000 3.754
Au 3.754 1.877 0.000
Au 3.754 5.631 0.000
Au 5.631 0.000 3.754

# 3
5
Lattice="5.796 0.000 0.000 0.000 5.796 0.000 0.000 0.000 4.196" Properties=species:S:1:pos:R:3 comment="NaTcI2O (PBE, optimized geometry)" polymorph_energy_kj_per_mol_fu=643.1 sg=P4/mmm pbc="T T T"
Na 0.000 0.000 0.000
Tc 2.898 2.898 2.098
I 0.000 2.898 0.000
I 2.898 0.000 0.000
O 0.000 0.000 2.098

# 4
5
Lattice="4.945 0.000 0.000 0.000 4.945 0.000 0.000 0.000 4.945" Properties=species:S:1:pos:R:3 comment="MoSe3N (PBE, optimized geometry)" polymorph_energy_kj_per_mol_fu=31.3 sg=Pm-3m pbc="T T T"
Mo 0.000 0.000 0.000
Se 0.000 0.000 2.473
Se 0.000 2.473 0.000
Se 2.473 0.000 0.000
N 2.473 2.473 2.473

# 5
10
Lattice="4.201 0.000 0.000 0.000 4.201 0.000 0.000 0.000 10.629" Properties=species:S:1:pos:R:3 comment="Tb2Ga3GePd4 (PBE, optimized geometry)" e_form_ev_per_atom=-0.78 sg=P-4m2 pbc="T T T"
Tb 0.000 2.101 2.559
Tb 2.101 0.000 8.070
Ga 0.000 0.000 0.000
Ga 0.000 2.101 6.725
Ga 2.101 0.000 3.904
Ge 2.101 2.101 0.000
Pd 0.000 0.000 5.315
Pd 0.000 2.101 9.185
Pd 2.101 0.000 1.444
Pd 2.101 2.101 5.315

# 6
10
Lattice="6.613 0.000 0.000 2.977 5.945 0.000 3.253 -0.435 7.979" Properties=species:S:1:pos:R:3 comment="CePm3Tl (PBE, optimized geometry)" e_form_ev_per_atom=-0.09 sg=P-1 pbc="T T T"
Ce 2.790 2.870 0.448
Ce 10.052 2.639 7.531
Pm 3.927 1.212 4.125
Pm 7.810 5.340 7.266
Pm 5.543 4.185 2.373
Pm 7.298 1.324 5.606
Pm 5.031 0.169 0.713
Pm 8.915 4.297 3.853
Tl 5.375 4.237 5.494
Tl 7.467 1.272 2.484